# 1
# Ce6Cd2Sn

Crystalline Ce6Cd2Sn at its relaxed geometry (PBE, Alexandria via LeMat-Bulk).

Total magnetization = 0.38 μB per atom
E_form = -0.168 eV/atom
Symmetry = P6/mmm
DOS(E_F) = 24.381 states/eV per cell
V = 222 Å³/f.u.

Cell: 9.149 9.149 3.068 Å, 90.00 90.00 120.00°
Fractional positions:
Ce  0.000  0.332  0.000
Ce  0.000  0.668  0.000
Ce  0.332  0.000  0.000
Ce  0.332  0.332  0.000
Ce  0.668  0.000  0.000
Ce  0.668  0.668  0.000
Cd  0.333  0.667  0.500
Cd  0.667  0.333  0.500
Sn  0.000  0.000  0.500



# 2
# Sn2RuS2

Crystalline Sn2RuS2 at its relaxed geometry (PBE, Alexandria via LeMat-Bulk).

Raw formation energy = 403 meV/atom
Total magnetization = 0.00 μB per atom
Polymorph energy (0 for the lowest one) = 2.462 eV/f.u.
Symmetry = P4/mbm
DOS(E_F) = 8.926 states/eV per cell
V = 105 Å³/f.u.

Cell: 7.176 7.176 4.096 Å, 90.00 90.00 90.00°
Fractional positions:
Sn  0.154  0.346  0.000
Sn  0.346  0.846  0.000
Sn  0.654  0.154  0.000
Sn  0.846  0.654  0.000
Ru  0.000  0.000  0.000
Ru  0.500  0.500  0.000
S  0.185  0.685  0.500
S  0.315  0.185  0.500
S  0.685  0.815  0.500
S  0.815  0.315  0.500



# 3
# Ti5AlCo6

Crystalline Ti5AlCo6 at its relaxed geometry (PBE, Alexandria via LeMat-Bulk).

Total magnetization = 0.36 μB per atom
E_form = -0.450 eV/atom
Symmetry = Immm
DOS(E_F) = 9.633 states/eV per cell
V = 156 Å³/f.u.

Cell: 7.259 7.259 7.259 Å, 146.47 131.90 59.90°
Fractional positions:
Ti  0.000  0.000  0.000
Ti  0.168  0.668  0.500
Ti  0.338  0.338  0.000
Ti  0.662  0.662  0.000
Ti  0.832  0.332  0.500
Al  0.500  0.000  0.500
Co  0.079  0.832  0.247
Co  0.245  0.500  0.745
Co  0.416  0.168  0.247
Co  0.584  0.832  0.753
Co  0.755  0.500  0.255
Co  0.921  0.168  0.753



# 4
# TmOsRu

Crystalline TmOsRu at its relaxed geometry (PBE, Alexandria via LeMat-Bulk).

Total magnetization = 0.00 μB per atom
E_form = -0.384 eV/atom
Symmetry = Amm2
DOS(E_F) = 11.250 states/eV per cell
V = 53 Å³/f.u.

Cell: 8.931 5.207 5.207 Å, 61.10 90.00 90.00°
Fractional positions:
Tm  0.183  0.000  0.000
Tm  0.316  0.666  0.666
Tm  0.684  0.666  0.666
Tm  0.817  0.000  0.000
Os  0.000  0.496  0.496
Os  0.500  0.160  0.160
Os  0.500  0.161  0.671
Os  0.500  0.671  0.161
Ru  0.000  0.500  0.984
Ru  0.000  0.984  0.500
Ru  0.249  0.338  0.338
Ru  0.751  0.338  0.338



# 5
# ZnTc4Cl

Crystalline ZnTc4Cl at its relaxed geometry (PBE, Alexandria via LeMat-Bulk).

Raw formation energy = 882 meV/atom
Total magnetization = 0.00 μB per atom
Symmetry = F-43m
DOS(E_F) = 4.902 states/eV per cell
V = 99 Å³/f.u.

Cell: 5.186 5.186 5.186 Å, 60.00 60.00 60.00°
Fractional positions:
Zn  0.000  0.000  0.000
Tc  0.376  0.376  0.376
Tc  0.376  0.376  0.872
Tc  0.376  0.872  0.376
Tc  0.872  0.376  0.376
Cl  0.750  0.750  0.750



# 6
# FeSbOs

Crystalline FeSbOs at its relaxed geometry (PBE, Alexandria via LeMat-Bulk).

Raw formation energy = 258 meV/atom
Total magnetization = 1.00 μB per atom
Polymorph energy (0 for the lowest one) = 0.000 eV/f.u.
Symmetry = F-43m
DOS(E_F) = 4.037 states/eV per cell
V = 56 Å³/f.u.

Cell: 6.065 6.065 6.065 Å, 90.00 90.00 90.00°
Fractional positions:
Fe  0.000  0.000  0.000
Fe  0.000  0.500  0.500
Fe  0.500  0.000  0.500
Fe  0.500  0.500  0.000
Sb  0.000  0.000  0.500
Sb  0.000  0.500  0.000
Sb  0.500  0.000  0.000
Sb  0.500  0.500  0.500
Os  0.250  0.250  0.250
Os  0.250  0.750  0.750
Os  0.750  0.250  0.750
Os  0.750  0.750  0.250



# 7
# NaPaPd14

Crystalline NaPaPd14 at its relaxed geometry (PBE, Alexandria via LeMat-Bulk).

Total magnetization = 0.00 μB per atom
E_form = -0.268 eV/atom
Symmetry = P4/mmm
DOS(E_F) = 22.153 states/eV per cell
V = 259 Å³/f.u.

Cell: 5.759 5.759 7.822 Å, 90.00 90.00 90.00°
Fractional positions:
Na  0.000  0.000  0.000
Pa  0.500  0.500  0.000
Pd  0.000  0.000  0.500
Pd  0.000  0.500  0.000
Pd  0.000  0.500  0.500
Pd  0.253  0.253  0.253
Pd  0.253  0.253  0.747
Pd  0.253  0.747  0.253
Pd  0.253  0.747  0.747
Pd  0.500  0.000  0.000
Pd  0.500  0.000  0.500
Pd  0.500  0.500  0.500
Pd  0.747  0.253  0.253
Pd  0.747  0.253  0.747
Pd  0.747  0.747  0.253
Pd  0.747  0.747  0.747



# 8
# SmSnTe2

Crystalline SmSnTe2 at its relaxed geometry (PBE, Alexandria via LeMat-Bulk).

Raw formation energy = -732 meV/atom
Total magnetization = 0.00 μB per atom
Symmetry = P4/mmm
DOS(E_F) = 2.574 states/eV per cell
V = 117 Å³/f.u.

Cell: 3.934 3.934 7.566 Å, 90.00 90.00 90.00°
Fractional positions:
Sm  0.000  0.000  0.000
Sn  0.000  0.000  0.500
Te  0.500  0.500  0.233
Te  0.500  0.500  0.767



# 9
# HfCdFeIr2

Crystalline HfCdFeIr2 at its relaxed geometry (PBE, Alexandria via LeMat-Bulk).

Total magnetization = 0.00 μB per atom
E_form = 1.857 eV/atom
Symmetry = P4/mmm
DOS(E_F) = 8.789 states/eV per cell
V = 121 Å³/f.u.

Cell: 4.783 4.783 5.274 Å, 90.00 90.00 90.00°
Fractional positions:
Hf  0.000  0.000  0.000
Cd  0.000  0.000  0.500
Fe  0.500  0.500  0.500
Ir  0.000  0.500  0.000
Ir  0.500  0.000  0.000



# 10
# CdAg2Se2

Crystalline CdAg2Se2 at its relaxed geometry (PBE, Alexandria via LeMat-Bulk).

Raw formation energy = -36 meV/atom
Total magnetization = 0.00 μB per atom
Polymorph energy (0 for the lowest one) = 0.000 eV/f.u.
Symmetry = P4/mbm
DOS(E_F) = 0.788 states/eV per cell
V = 113 Å³/f.u.

Cell: 7.546 7.546 3.954 Å, 90.00 90.00 90.00°
Fractional positions:
Cd  0.000  0.000  0.000
Cd  0.500  0.500  0.000
Ag  0.133  0.367  0.500
Ag  0.367  0.867  0.500
Ag  0.633  0.133  0.500
Ag  0.867  0.633  0.500
Se  0.179  0.679  0.000
Se  0.321  0.179  0.000
Se  0.679  0.821  0.000
Se  0.821  0.321  0.000



# 11
# LaYTc2Te

Crystalline LaYTc2Te at its relaxed geometry (PBE, Alexandria via LeMat-Bulk).

Raw formation energy = 713 meV/atom
Total magnetization = 0.21 μB per atom
Symmetry = P4/mmm
DOS(E_F) = 5.788 states/eV per cell
V = 135 Å³/f.u.

Cell: 4.992 4.992 5.424 Å, 90.00 90.00 90.00°
Fractional positions:
La  0.000  0.000  0.000
Y  0.500  0.500  0.000
Tc  0.000  0.500  0.500
Tc  0.500  0.000  0.500
Te  0.500  0.500  0.500



# 12
# MgFe2Ni

Crystalline MgFe2Ni at its relaxed geometry (PBE, Alexandria via LeMat-Bulk).

Total magnetization = 1.39 μB per atom
E_form = 0.142 eV/atom
Symmetry = Imm2
DOS(E_F) = 7.527 states/eV per cell
V = 52 Å³/f.u.

Cell: 3.017 4.229 8.145 Å, 90.00 90.00 90.00°
Fractional positions:
Mg  0.000  0.000  0.000
Mg  0.500  0.500  0.500
Fe  0.000  0.000  0.499
Fe  0.000  0.500  0.231
Fe  0.500  0.000  0.731
Fe  0.500  0.500  0.999
Ni  0.000  0.500  0.759
Ni  0.500  0.000  0.259